Record 1
This record from Alexandria describes a geometry-optimized Ta2VRe structure. The functional is PBE-GGA.

```
data_Ta2VRe
_chemical_formula_sum 'Ta4 V2 Re2'
_cell_length_a 4.508
_cell_length_b 5.510
_cell_length_c 5.510
_cell_angle_alpha 109.30
_cell_angle_beta 90.00
_cell_angle_gamma 90.00
_space_group_name_H-M_alt 'P 1'
_space_group_IT_number 1
_space_group_name_Hall 'P 1'
loop_
_atom_site_label
_atom_site_type_symbol
_atom_site_fract_x
_atom_site_fract_y
_atom_site_fract_z
Ta1 Ta 0.750 0.624 0.874
Ta2 Ta 0.750 0.126 0.376
Ta3 Ta 0.250 0.874 0.624
V1 V 0.750 0.621 0.379
Ta4 Ta 0.250 0.376 0.126
Re1 Re 0.750 0.127 0.873
V2 V 0.250 0.379 0.621
Re2 Re 0.250 0.873 0.127
```

The space group is Cmcm (63). Its formation energy is -0.259 eV/atom. For the density of states at the Fermi level, the calculation gives 8.751 states/eV per cell.

=====

Record 2
This record from Alexandria describes a geometry-optimized K3TmSc2Te6 structure. The functional is PBE-GGA.

```
data_K3TmSc2Te6
_chemical_formula_sum 'K3 Tm1 Sc2 Te6'
_cell_length_a 7.547
_cell_length_b 7.547
_cell_length_c 8.581
_cell_angle_alpha 98.44
_cell_angle_beta 98.44
_cell_angle_gamma 120.00
_space_group_name_H-M_alt 'P 1'
_space_group_IT_number 1
_space_group_name_Hall 'P 1'
loop_
_atom_site_label
_atom_site_type_symbol
_atom_site_fract_x
_atom_site_fract_y
_atom_site_fract_z
Te1 Te 0.275 0.275 0.800
Te2 Te 0.933 0.591 0.799
Sc1 Sc 0.667 0.333 0.000
Te3 Te 0.067 0.409 0.201
Te4 Te 0.725 0.725 0.200
K1 K 0.836 0.164 0.500
Te5 Te 0.409 0.067 0.201
Sc2 Sc 0.333 0.667 0.000
K2 K 0.164 0.836 0.500
K3 K 0.500 0.500 0.500
Tm1 Tm 0.000 0.000 0.000
Te6 Te 0.591 0.933 0.799
```

The space group is C2/m (12).

=====

Record 3
This record from Alexandria describes a geometry-optimized Sb2As2O7 structure. The functional is PBE-GGA.

```
data_Sb2As2O7
_chemical_formula_sum 'Sb2 As2 O7'
_cell_length_a 4.894
_cell_length_b 5.836
_cell_length_c 5.836
_cell_angle_alpha 92.23
_cell_angle_beta 93.58
_cell_angle_gamma 93.58
_space_group_name_H-M_alt 'P 1'
_space_group_IT_number 1
_space_group_name_Hall 'P 1'
loop_
_atom_site_label
_atom_site_type_symbol
_atom_site_fract_x
_atom_site_fract_y
_atom_site_fract_z
O1 O 0.254 0.124 0.455
O2 O 0.500 0.000 0.000
As1 As 0.549 0.765 0.765
O3 O 0.254 0.455 0.124
O4 O 0.746 0.545 0.876
Sb1 Sb 0.000 0.699 0.301
Sb2 Sb 0.000 0.301 0.699
O5 O 0.769 0.406 0.406
O6 O 0.231 0.594 0.594
O7 O 0.746 0.876 0.545
As2 As 0.451 0.235 0.235
```

The space group is C2/m (12).

=====

Record 4
This record from Alexandria describes a geometry-optimized Tb6NpO12 structure. The functional is PBE-GGA.

```
data_Tb6NpO12
_chemical_formula_sum 'Tb6 Np1 O12'
_cell_length_a 6.597
_cell_length_b 6.597
_cell_length_c 6.597
_cell_angle_alpha 98.88
_cell_angle_beta 98.88
_cell_angle_gamma 98.88
_space_group_name_H-M_alt 'P 1'
_space_group_IT_number 1
_space_group_name_Hall 'P 1'
loop_
_atom_site_label
_atom_site_type_symbol
_atom_site_fract_x
_atom_site_fract_y
_atom_site_fract_z
Np1 Np 0.000 0.000 0.000
Tb1 Tb 0.855 0.389 0.680
O1 O 0.589 0.178 0.430
O2 O 0.306 0.077 0.955
O3 O 0.694 0.923 0.045
O4 O 0.430 0.589 0.178
Tb2 Tb 0.611 0.320 0.145
O5 O 0.178 0.430 0.589
O6 O 0.955 0.306 0.077
Tb3 Tb 0.680 0.855 0.389
Tb4 Tb 0.320 0.145 0.611
O7 O 0.411 0.822 0.570
Tb5 Tb 0.145 0.611 0.320
Tb6 Tb 0.389 0.680 0.855
O8 O 0.077 0.955 0.306
O9 O 0.822 0.570 0.411
O10 O 0.923 0.045 0.694
O11 O 0.570 0.411 0.822
O12 O 0.045 0.694 0.923
```

The space group is R-3 (148).

=====

Record 5
This record from Alexandria describes a geometry-optimized Te2OsC structure. The functional is PBE-GGA.

```
data_Te2OsC
_chemical_formula_sum 'Te2 Os1 C1'
_cell_length_a 6.966
_cell_length_b 6.966
_cell_length_c 6.966
_cell_angle_alpha 33.88
_cell_angle_beta 33.88
_cell_angle_gamma 33.88
_space_group_name_H-M_alt 'P 1'
_space_group_IT_number 1
_space_group_name_Hall 'P 1'
loop_
_atom_site_label
_atom_site_type_symbol
_atom_site_fract_x
_atom_site_fract_y
_atom_site_fract_z
C1 C 0.000 0.000 0.000
Te1 Te 0.100 0.100 0.100
Os1 Os 0.500 0.500 0.500
Te2 Te 0.900 0.900 0.900
```

The space group is R-3m (166). For the density of states at the Fermi level, the calculation gives 2.264 states/eV per cell.

=====

Record 6
This record from Alexandria describes a geometry-optimized TcTeSe2 structure. The functional is PBE-GGA.

```
data_TcTeSe2
_chemical_formula_sum 'Tc1 Te1 Se2'
_cell_length_a 6.639
_cell_length_b 6.639
_cell_length_c 6.081
_cell_angle_alpha 64.62
_cell_angle_beta 64.62
_cell_angle_gamma 26.33
_space_group_name_H-M_alt 'P 1'
_space_group_IT_number 1
_space_group_name_Hall 'P 1'
loop_
_atom_site_label
_atom_site_type_symbol
_atom_site_fract_x
_atom_site_fract_y
_atom_site_fract_z
Tc1 Tc 0.505 0.505 0.361
Se1 Se 0.006 0.006 0.042
Te1 Te 0.837 0.837 0.719
Se2 Se 0.152 0.152 0.377
```

The space group is Cm (8). For the density of states at the Fermi level, the calculation gives 3.175 states/eV per cell.

=====

Record 7
This record from Alexandria describes a geometry-optimized PrDyAgPt structure. The functional is PBE-GGA.

```
data_PrDyAgPt
_chemical_formula_sum 'Pr1 Dy1 Ag1 Pt1'
_cell_length_a 5.131
_cell_length_b 5.131
_cell_length_c 5.131
_cell_angle_alpha 60.00
_cell_angle_beta 60.00
_cell_angle_gamma 60.00
_space_group_name_H-M_alt 'P 1'
_space_group_IT_number 1
_space_group_name_Hall 'P 1'
loop_
_atom_site_label
_atom_site_type_symbol
_atom_site_fract_x
_atom_site_fract_y
_atom_site_fract_z
Pt1 Pt 0.750 0.750 0.750
Ag1 Ag 0.250 0.250 0.250
Pr1 Pr 0.500 0.500 0.500
Dy1 Dy 0.000 0.000 0.000
```

The space group is F-43m (216). Its formation energy is -0.699 eV/atom. For the density of states at the Fermi level, the calculation gives 2.013 states/eV per cell.

=====

Record 8
This record from Alexandria describes a geometry-optimized Li2Tl3Pb3 structure. The functional is PBE-GGA.

```
data_Li2Tl3Pb3
_chemical_formula_sum 'Li4 Tl6 Pb6'
_cell_length_a 5.180
_cell_length_b 6.367
_cell_length_c 14.552
_cell_angle_alpha 90.00
_cell_angle_beta 90.00
_cell_angle_gamma 114.00
_space_group_name_H-M_alt 'P 1'
_space_group_IT_number 1
_space_group_name_Hall 'P 1'
loop_
_atom_site_label
_atom_site_type_symbol
_atom_site_fract_x
_atom_site_fract_y
_atom_site_fract_z
Tl1 Tl 0.641 0.281 0.028
Tl2 Tl 0.359 0.719 0.528
Li1 Li 0.189 0.377 0.134
Pb1 Pb 0.690 0.380 0.250
Tl3 Tl 0.594 0.189 0.750
Li2 Li 0.189 0.377 0.366
Pb2 Pb 0.074 0.147 0.899
Pb3 Pb 0.926 0.853 0.399
Tl4 Tl 0.406 0.811 0.250
Li3 Li 0.811 0.623 0.634
Pb4 Pb 0.926 0.853 0.101
Pb5 Pb 0.074 0.147 0.601
Li4 Li 0.811 0.623 0.866
Tl5 Tl 0.641 0.281 0.472
Tl6 Tl 0.359 0.719 0.972
Pb6 Pb 0.310 0.620 0.750
```

The space group is Cmcm (63). Its formation energy is -0.063 eV/atom. For the density of states at the Fermi level, the calculation gives 4.887 states/eV per cell. As for the energy above the most stable polymorph in this dataset: 0.018 eV/atom.

=====

Record 9
This record from Alexandria describes a geometry-optimized LiAs2BrF structure. The functional is PBE-GGA.

```
data_LiAs2BrF
_chemical_formula_sum 'Li1 As2 Br1 F1'
_cell_length_a 4.570
_cell_length_b 4.570
_cell_length_c 4.687
_cell_angle_alpha 90.00
_cell_angle_beta 90.00
_cell_angle_gamma 90.00
_space_group_name_H-M_alt 'P 1'
_space_group_IT_number 1
_space_group_name_Hall 'P 1'
loop_
_atom_site_label
_atom_site_type_symbol
_atom_site_fract_x
_atom_site_fract_y
_atom_site_fract_z
As1 As 0.500 0.000 0.000
F1 F 0.500 0.500 0.500
Li1 Li 0.000 0.000 0.000
Br1 Br 0.000 0.000 0.500
As2 As 0.000 0.500 0.000
```

The space group is P4/mmm (123). For the density of states at the Fermi level, the calculation gives 2.536 states/eV per cell. As for the energy above the most stable polymorph in this dataset: 0.341 eV/atom.

=====

Record 10
This record from Alexandria describes a geometry-optimized La9ErTm2 structure. The functional is PBE-GGA.

```
data_La9ErTm2
_chemical_formula_sum 'La9 Er1 Tm2'
_cell_length_a 5.187
_cell_length_b 5.187
_cell_length_c 15.562
_cell_angle_alpha 90.00
_cell_angle_beta 90.00
_cell_angle_gamma 90.00
_space_group_name_H-M_alt 'P 1'
_space_group_IT_number 1
_space_group_name_Hall 'P 1'
loop_
_atom_site_label
_atom_site_type_symbol
_atom_site_fract_x
_atom_site_fract_y
_atom_site_fract_z
Er1 Er 0.000 0.000 0.000
La1 La 0.500 0.500 0.666
La2 La 0.000 0.500 0.500
La3 La 0.000 0.500 0.167
La4 La 0.000 0.500 0.833
La5 La 0.500 0.000 0.167
La6 La 0.500 0.500 0.000
Tm1 Tm 0.000 0.000 0.666
La7 La 0.500 0.500 0.334
La8 La 0.500 0.000 0.500
La9 La 0.500 0.000 0.833
Tm2 Tm 0.000 0.000 0.334
```

The space group is P4/mmm (123). Its formation energy is 0.007 eV/atom. For the density of states at the Fermi level, the calculation gives 14.190 states/eV per cell.

=====

Electronic total energy values (in eV/cell) by entry order: -92.62 -54.78 -64.27 -166.33 -21.53 -20.79 -21.07 -45.10 -14.11 -57.77.